Density functional theory data (SCAN) for a crystal of BaAl2Ni relaxed with PBEsol.

V = 21.7 Å³/atom
final energy = -17.3744 eV per atom
DFT formation energy = 1.729 eV per formula unit
density = 4.79 Mg/m³

Geometry as CIF:
```
data_BaAl2Ni
_chemical_formula_sum 'Ba1 Al2 Ni1'
_cell_length_a 4.1184
_cell_length_b 4.1184
_cell_length_c 5.1123
_cell_angle_alpha 90.00
_cell_angle_beta 90.00
_cell_angle_gamma 90.00
_symmetry_space_group_name_H-M 'P 4/m m m'
_symmetry_Int_Tables_number 123
_symmetry_space_group_name_Hall '-P 4 2'
loop_
_atom_site_label
_atom_site_type_symbol
_atom_site_fract_x
_atom_site_fract_y
_atom_site_fract_z
Ba1 Ba 0.0000 0.0000 0.0000
Al1 Al 0.0000 0.5000 0.5000
Ni1 Ni 0.5000 0.5000 0.0000
```

=====

Density functional theory data (SCAN) for a crystal of BaAlNi2Sb relaxed with PBEsol.

V = 23.0 Å³/atom
final energy = -23.1519 eV per atom
density = 5.83 Mg/m³

Geometry as CIF:
```
data_BaAlNi2Sb
_chemical_formula_sum 'Ba1 Al1 Ni2 Sb1'
_cell_length_a 4.6884
_cell_length_b 4.6884
_cell_length_c 5.2295
_cell_angle_alpha 90.00
_cell_angle_beta 90.00
_cell_angle_gamma 90.00
_symmetry_space_group_name_H-M 'P 4/m m m'
_symmetry_Int_Tables_number 123
_symmetry_space_group_name_Hall '-P 4 2'
loop_
_atom_site_label
_atom_site_type_symbol
_atom_site_fract_x
_atom_site_fract_y
_atom_site_fract_z
Ba1 Ba 0.0000 0.0000 0.0000
Al1 Al 0.5000 0.5000 0.5000
Ni1 Ni 0.0000 0.5000 0.5000
Sb1 Sb 0.5000 0.5000 0.0000
```

=====

Density functional theory data (SCAN) for a crystal of BaAl4O7 relaxed with PBEsol.

V = 13.5 Å³/atom
final energy = -12.8447 eV per atom
density = 3.66 Mg/m³

Geometry as CIF:
```
data_BaAl4O7
_chemical_formula_sum 'Ba4 Al16 O28'
_cell_length_a 10.2741
_cell_length_b 12.9086
_cell_length_c 4.8852
_cell_angle_alpha 90.00
_cell_angle_beta 90.00
_cell_angle_gamma 90.00
_symmetry_space_group_name_H-M 'P n m a'
_symmetry_Int_Tables_number 62
loop_
_symmetry_equiv_pos_as_xyz
'x,y,z'
'-x,-y,-z'
'-x+1/2,-y,z+1/2'
'x+1/2,y,-z+1/2'
'x+1/2,-y+1/2,-z+1/2'
'-x+1/2,y+1/2,z+1/2'
'-x,y+1/2,-z'
'x,-y+1/2,z'
loop_
_atom_site_label
_atom_site_type_symbol
_atom_site_fract_x
_atom_site_fract_y
_atom_site_fract_z
Ba1 Ba 0.1686 0.2500 0.2232
Al1 Al 0.0916 0.6321 0.2963
Al2 Al 0.1568 0.0018 0.8017
O1 O 0.0707 0.1177 0.7997
O2 O 0.1100 0.6146 0.6509
O3 O 0.1634 0.7500 0.2101
O4 O 0.1880 0.5296 0.1511
```

=====

Density functional theory data (SCAN) for a crystal of BaAlO2 relaxed with PBEsol.

V = 15.4 Å³/atom
final energy = -17.4581 eV per atom
density = 5.30 Mg/m³

Geometry as CIF:
```
data_BaAlO2
_chemical_formula_sum 'Ba4 Al4 O8'
_cell_length_a 5.7925
_cell_length_b 5.7925
_cell_length_c 7.3363
_cell_angle_alpha 90.00
_cell_angle_beta 90.00
_cell_angle_gamma 90.00
_symmetry_space_group_name_H-M 'I -4 2 d'
_symmetry_Int_Tables_number 122
_symmetry_space_group_name_Hall 'I -4 2bw'
loop_
_atom_site_label
_atom_site_type_symbol
_atom_site_fract_x
_atom_site_fract_y
_atom_site_fract_z
Ba1 Ba 0.0000 0.0000 0.0000
Al1 Al 0.0000 0.0000 0.5000
O1 O 0.0952 0.2500 0.6250
```

=====

Density functional theory data (SCAN) for a crystal of BaAl5O9 relaxed with PBEsol.

V = 12.3 Å³/atom
final energy = -12.1318 eV per atom
density = 3.73 Mg/m³

Geometry as CIF:
```
data_BaAl5O9
_chemical_formula_sum 'Ba2 Al10 O18'
_cell_length_a 5.6576
_cell_length_b 5.6576
_cell_length_c 13.3618
_cell_angle_alpha 90.00
_cell_angle_beta 90.00
_cell_angle_gamma 120.00
_symmetry_space_group_name_H-M 'P 63/m m c'
_symmetry_Int_Tables_number 194
_symmetry_space_group_name_Hall '-P 6c 2c'
loop_
_atom_site_label
_atom_site_type_symbol
_atom_site_fract_x
_atom_site_fract_y
_atom_site_fract_z
Ba1 Ba 0.3333 0.6667 0.2500
Al1 Al 0.0000 0.0000 0.1202
Al2 Al 0.0000 0.5000 0.0000
O1 O 0.0000 0.0000 0.2500
O2 O 0.1724 0.3449 0.0802
O3 O 0.3333 0.6667 0.5675
```

=====

Density functional theory data (SCAN) for a crystal of Ba2ScAlO5 relaxed with PBEsol.

V = 15.5 Å³/atom
final energy = -17.9876 eV per atom
density = 5.08 Mg/m³

Geometry as CIF:
```
data_Ba2ScAlO5
_chemical_formula_sum 'Ba12 Sc6 Al6 O30'
_cell_length_a 10.0508
_cell_length_b 5.7592
_cell_length_c 14.4446
_cell_angle_alpha 90.00
_cell_angle_beta 90.60
_cell_angle_gamma 90.00
_symmetry_space_group_name_H-M 'C 1 m 1'
_symmetry_Int_Tables_number 8
loop_
_symmetry_equiv_pos_as_xyz
'x,y,z'
'x,-y,z'
'x+1/2,y+1/2,z'
'x+1/2,-y+1/2,z'
loop_
_atom_site_label
_atom_site_type_symbol
_atom_site_fract_x
_atom_site_fract_y
_atom_site_fract_z
Ba1 Ba 0.0000 0.0000 0.0000
Ba2 Ba 0.0026 0.0000 0.3006
Ba3 Ba 0.1515 0.5000 0.6426
Ba4 Ba 0.1822 0.5000 0.1504
Ba5 Ba 0.3261 0.0000 0.8398
Ba6 Ba 0.3358 0.0000 0.4662
Sc1 Sc 0.1650 0.5000 0.9093
Sc2 Sc 0.1718 0.5000 0.3928
Sc3 Sc 0.4947 0.5000 0.7621
Al1 Al 0.0124 0.0000 0.5276
Al2 Al 0.3548 0.0000 0.0562
Al3 Al 0.3577 0.0000 0.2486
O1 O 0.0082 0.5000 0.9959
O2 O 0.0139 0.5000 0.3083
O3 O 0.0642 0.2588 0.8280
O4 O 0.0773 0.2517 0.4767
O5 O 0.0840 0.0000 0.6400
O6 O 0.2584 0.2330 0.9898
O7 O 0.2647 0.2341 0.3155
O8 O 0.3052 0.5000 0.7916
O9 O 0.3366 0.5000 0.5133
O10 O 0.3861 0.2146 0.1525
```